(1)
GGA-PBE ZnHg2Te, relaxed; energy above the most stable polymorph in this dataset = 293 meV per atom; space-group type = P4/mmm; uncorrected formation energy = 213 meV/atom; VASP energy = -4.2 eV per cell; crystal system = tetragonal
1.0
4.934 0.000 0.000
0.000 4.934 0.000
0.000 0.000 4.124
Zn Hg Te
1 2 1
direct
0.000 0.000 0.000
0.000 0.500 0.500
0.500 0.000 0.500
0.500 0.500 0.000

---

(2)
GGA-PBE ZnHg2Te, relaxed; energy above the most stable polymorph in this dataset = 71 meV per atom; space-group type = P4mm; uncorrected formation energy = -9 meV/atom; VASP energy = -5.1 eV per cell; crystal system = tetragonal
1.0
3.889 0.000 0.000
0.000 3.889 0.000
0.000 0.000 8.082
Zn Hg Te
1 2 1
direct
0.000 0.000 0.000
0.000 0.000 0.662
0.500 0.500 0.458
0.500 0.500 0.055

---

(3)
GGA-PBE ZnHg2Te, relaxed; energy above the most stable polymorph in this dataset = 37 meV per atom; space-group type = Pm; uncorrected formation energy = -43 meV/atom; VASP energy = -5.2 eV per cell; crystal system = monoclinic
1.0
4.973 0.000 0.000
0.000 4.166 0.000
-2.427 0.000 5.667
Zn Hg Te
1 2 1
direct
0.000 0.000 0.000
0.198 0.500 0.384
0.595 0.000 0.190
0.859 0.500 0.707

---

(4)
GGA-PBE ZnHgTe, relaxed; energy above the most stable polymorph in this dataset = 75 meV per atom; space-group type = I4mm; uncorrected formation energy = -58 meV/atom; VASP energy = -4.9 eV per cell; crystal system = tetragonal
1.0
-1.951 1.951 6.264
1.951 -1.951 6.264
1.951 1.951 -6.264
Zn Hg Te
1 1 1
direct
0.000 0.000 0.000
0.209 0.209 0.000
0.446 0.446 0.000

---

(5)
GGA-PBE ZnHgTe, relaxed; energy above the most stable polymorph in this dataset = 279 meV per atom; space-group type = Imm2; uncorrected formation energy = 146 meV/atom; VASP energy = -4.3 eV per cell; crystal system = orthorhombic
1.0
-1.570 1.867 6.466
1.570 -1.867 6.466
1.570 1.867 -6.466
Zn Hg Te
1 1 1
direct
0.000 0.000 0.000
0.644 0.644 0.000
0.365 0.365 0.000

---

(6)
GGA-PBE ZnHg3Te4, relaxed; space-group type = I-42m; uncorrected formation energy = -238 meV/atom; VASP energy = -16.6 eV per cell; crystal system = tetragonal
1.0
-3.264 3.264 6.519
3.264 -3.264 6.519
3.264 3.264 -6.519
Zn Hg Te
1 3 4
direct
0.000 0.000 0.000
0.250 0.750 0.500
0.500 0.500 0.000
0.750 0.250 0.500
0.118 0.118 0.475
0.357 0.882 0.000
0.643 0.643 0.525
0.882 0.357 0.000

---

(7)
GGA-PBE ZnHg2Te, relaxed; energy above the most stable polymorph in this dataset = 207 meV per atom; space-group type = I-4m2; uncorrected formation energy = 127 meV/atom; VASP energy = -4.5 eV per cell; crystal system = tetragonal
1.0
-2.604 2.604 3.735
2.604 -2.604 3.735
2.604 2.604 -3.735
Zn Hg Te
1 2 1
direct
0.000 0.000 0.000
0.250 0.750 0.500
0.500 0.500 0.000
0.750 0.250 0.500

---

(8)
GGA-PBE ZnHg2Te, relaxed; energy above the most stable polymorph in this dataset = 309 meV per atom; space-group type = Cmmm; uncorrected formation energy = 229 meV/atom; VASP energy = -4.1 eV per cell; crystal system = orthorhombic
1.0
3.294 -4.500 0.000
3.294 4.500 0.000
0.000 0.000 3.401
Zn Hg Te
1 2 1
direct
0.000 0.000 0.000
0.000 0.500 0.500
0.500 0.000 0.500
0.500 0.500 0.000

---

Number 3 is which compound?
ZnHg2Te